(1)
The following is a PBE-GGA calculation of a geometry-optimized GdHfNO structure, from OQMD.

The structure belongs to space group Pbcm (No. 57); the cell edges are 7.808, 6.592 and 4.675 Å and the angles 90.00°, 90.00° and 90.00°. The distinct sites, in fractional coordinates, are Gd at (0.123, 0.053, 0.250), Hf at (0.374, 0.595, 0.250), N at (0.402, 0.583, 0.750) and O at (0.160, 0.098, 0.750).

=====

(2)
The following is a PBE-GGA calculation of a geometry-optimized GdHfNO structure, from OQMD.

The structure belongs to space group Pbcm (No. 57); the cell edges are 8.064, 6.211 and 4.881 Å and the angles 90.00°, 90.00° and 90.00°. The distinct sites, in fractional coordinates, are Gd at (0.137, 0.074, 0.250), Hf at (0.391, 0.550, 0.250), N at (0.141, 0.045, 0.750) and O at (0.374, 0.616, 0.750).

=====

(3)
The following is a PBE-GGA calculation of a geometry-optimized GdHfNO structure, from OQMD.

The structure belongs to space group Pmma (No. 51); the cell edges are 4.681, 3.872 and 6.677 Å and the angles 90.00°, 90.00° and 90.00°. The distinct sites, in fractional coordinates, are Gd at (0.250, 0.000, 0.155), Hf at (0.250, 0.500, 0.668), N at (0.250, 0.500, 0.358) and O at (0.250, 0.000, 0.787).

=====

(4)
The following is a PBE-GGA calculation of a geometry-optimized GdHfNO structure, from OQMD.

The structure belongs to space group P4/nmm (No. 129, origin choice 2); the cell edges are 4.458, 4.458 and 6.066 Å and the angles 90.00°, 90.00° and 90.00°. The distinct sites, in fractional coordinates, are Gd at (0.250, 0.750, 0.000), Hf at (0.250, 0.250, 0.460), N at (0.250, 0.250, 0.134) and O at (0.250, 0.750, 0.500).

=====

Here are the calculated relative energy among the computed polymorphs numbers, same order: 0.0; 198.6; 46.8; 280.4 (meV per atom).